(1)
First-principles (PBE) data for a relaxed RbBa2Eu crystal, as listed in Alexandria via LeMat-Bulk.

Energy above the most stable polymorph in this dataset   0.0000 eV/atom
Calculated total energy   -14.7 eV/f.u.

The structure in CIF format:
```
data_RbBa2Eu
_symmetry_space_group_name_H-M 'P 1'
_symmetry_Int_Tables_number 1
_cell_length_a 4.508
_cell_length_b 4.508
_cell_length_c 12.612
_cell_angle_alpha 90.00
_cell_angle_beta 90.00
_cell_angle_gamma 90.00
loop_
_symmetry_equiv_pos_as_xyz
'x,y,z'
loop_
_atom_site_label
_atom_site_fract_x
_atom_site_fract_y
_atom_site_fract_z
Rb1 0.000 0.000 0.000
Ba1 0.500 0.500 0.291
Ba2 0.500 0.500 0.709
Eu1 0.000 0.000 0.500
```

(2)
First-principles (PBE) data for a relaxed RbBa2Eu crystal, as listed in Alexandria via LeMat-Bulk.

Energy above the most stable polymorph in this dataset   0.0338 eV/atom
Calculated total energy   -14.6 eV/f.u.

The structure in CIF format:
```
data_RbBa2Eu
_symmetry_space_group_name_H-M 'P 1'
_symmetry_Int_Tables_number 1
_cell_length_a 15.658
_cell_length_b 15.658
_cell_length_c 15.658
_cell_angle_alpha 16.03
_cell_angle_beta 16.03
_cell_angle_gamma 16.03
loop_
_symmetry_equiv_pos_as_xyz
'x,y,z'
loop_
_atom_site_label
_atom_site_fract_x
_atom_site_fract_y
_atom_site_fract_z
Rb1 0.000 0.000 0.000
Ba1 0.094 0.094 0.094
Ba2 0.906 0.906 0.906
Eu1 0.500 0.500 0.500
```

(3)
First-principles (PBE) data for a relaxed RbBa2Eu crystal, as listed in Alexandria via LeMat-Bulk.

Energy above the most stable polymorph in this dataset   0.0662 eV/atom
Calculated total energy   -14.4 eV/f.u.

The structure in CIF format:
```
data_RbBa2Eu
_symmetry_space_group_name_H-M 'P 1'
_symmetry_Int_Tables_number 1
_cell_length_a 7.290
_cell_length_b 7.290
_cell_length_c 4.700
_cell_angle_alpha 90.00
_cell_angle_beta 90.00
_cell_angle_gamma 90.00
loop_
_symmetry_equiv_pos_as_xyz
'x,y,z'
loop_
_atom_site_label
_atom_site_fract_x
_atom_site_fract_y
_atom_site_fract_z
Rb1 0.000 0.000 0.000
Ba1 0.000 0.500 0.500
Ba2 0.500 0.000 0.500
Eu1 0.500 0.500 0.000
```

(4)
First-principles (PBE) data for a relaxed RbBaEu crystal, as listed in Alexandria via LeMat-Bulk.

Energy above the most stable polymorph in this dataset   0.0000 eV/atom
Calculated total energy   -12.7 eV/f.u.

The structure in CIF format:
```
data_RbBaEu
_symmetry_space_group_name_H-M 'P 1'
_symmetry_Int_Tables_number 1
_cell_length_a 4.370
_cell_length_b 4.370
_cell_length_c 11.294
_cell_angle_alpha 90.00
_cell_angle_beta 90.00
_cell_angle_gamma 120.00
loop_
_symmetry_equiv_pos_as_xyz
'x,y,z'
loop_
_atom_site_label
_atom_site_fract_x
_atom_site_fract_y
_atom_site_fract_z
Rb1 0.000 0.000 0.000
Ba1 0.333 0.667 0.639
Eu1 0.667 0.333 0.340
```

(5)
First-principles (PBE) data for a relaxed RbBaSrEu crystal, as listed in Alexandria via LeMat-Bulk.

Calculated total energy   -14.1 eV/f.u.

The structure in CIF format:
```
data_RbBaSrEu
_symmetry_space_group_name_H-M 'P 1'
_symmetry_Int_Tables_number 1
_cell_length_a 6.992
_cell_length_b 6.992
_cell_length_c 6.992
_cell_angle_alpha 60.00
_cell_angle_beta 60.00
_cell_angle_gamma 60.00
loop_
_symmetry_equiv_pos_as_xyz
'x,y,z'
loop_
_atom_site_label
_atom_site_fract_x
_atom_site_fract_y
_atom_site_fract_z
Rb1 0.000 0.000 0.000
Ba1 0.750 0.750 0.750
Sr1 0.250 0.250 0.250
Eu1 0.500 0.500 0.500
```

(6)
First-principles (PBE) data for a relaxed BaEu2Rh crystal, as listed in Alexandria via LeMat-Bulk.

Energy above the most stable polymorph in this dataset   0.0000 eV/atom
Calculated total energy   -30.4 eV/f.u.

The structure in CIF format:
```
data_BaEu2Rh
_symmetry_space_group_name_H-M 'P 1'
_symmetry_Int_Tables_number 1
_cell_length_a 3.697
_cell_length_b 3.697
_cell_length_c 10.225
_cell_angle_alpha 90.00
_cell_angle_beta 90.00
_cell_angle_gamma 90.00
loop_
_symmetry_equiv_pos_as_xyz
'x,y,z'
loop_
_atom_site_label
_atom_site_fract_x
_atom_site_fract_y
_atom_site_fract_z
Ba1 0.000 0.000 0.000
Eu1 0.500 0.500 0.339
Eu2 0.500 0.500 0.661
Rh1 0.000 0.000 0.500
```

(7)
First-principles (PBE) data for a relaxed BaEuRh2 crystal, as listed in Alexandria via LeMat-Bulk.

Calculated total energy   -27.3 eV/f.u.

The structure in CIF format:
```
data_BaEuRh2
_symmetry_space_group_name_H-M 'P 1'
_symmetry_Int_Tables_number 1
_cell_length_a 6.339
_cell_length_b 6.339
_cell_length_c 6.339
_cell_angle_alpha 44.72
_cell_angle_beta 44.72
_cell_angle_gamma 44.72
loop_
_symmetry_equiv_pos_as_xyz
'x,y,z'
loop_
_atom_site_label
_atom_site_fract_x
_atom_site_fract_y
_atom_site_fract_z
Ba1 0.000 0.000 0.000
Eu1 0.500 0.500 0.500
Rh1 0.188 0.188 0.188
Rh2 0.812 0.812 0.812
```

(8)
First-principles (PBE) data for a relaxed BaEuRh crystal, as listed in Alexandria via LeMat-Bulk.

Energy above the most stable polymorph in this dataset   0.0233 eV/atom
Calculated total energy   -20.0 eV/f.u.

The structure in CIF format:
```
data_BaEuRh
_symmetry_space_group_name_H-M 'P 1'
_symmetry_Int_Tables_number 1
_cell_length_a 5.200
_cell_length_b 5.200
_cell_length_c 5.200
_cell_angle_alpha 60.00
_cell_angle_beta 60.00
_cell_angle_gamma 60.00
loop_
_symmetry_equiv_pos_as_xyz
'x,y,z'
loop_
_atom_site_label
_atom_site_fract_x
_atom_site_fract_y
_atom_site_fract_z
Ba1 0.000 0.000 0.000
Eu1 0.500 0.500 0.500
Rh1 0.750 0.750 0.750
```

(9)
First-principles (PBE) data for a relaxed Ba2EuRh crystal, as listed in Alexandria via LeMat-Bulk.

Calculated total energy   -21.3 eV/f.u.

The structure in CIF format:
```
data_Ba2EuRh
_symmetry_space_group_name_H-M 'P 1'
_symmetry_Int_Tables_number 1
_cell_length_a 11.925
_cell_length_b 11.925
_cell_length_c 11.925
_cell_angle_alpha 20.78
_cell_angle_beta 20.78
_cell_angle_gamma 20.78
loop_
_symmetry_equiv_pos_as_xyz
'x,y,z'
loop_
_atom_site_label
_atom_site_fract_x
_atom_site_fract_y
_atom_site_fract_z
Ba1 0.116 0.116 0.116
Ba2 0.884 0.884 0.884
Eu1 0.000 0.000 0.000
Rh1 0.500 0.500 0.500
```

(10)
First-principles (PBE) data for a relaxed Ba4Eu2Rh crystal, as listed in Alexandria via LeMat-Bulk.

Calculated total energy   -35.0 eV/f.u.

The structure in CIF format:
```
data_Ba4Eu2Rh
_symmetry_space_group_name_H-M 'P 1'
_symmetry_Int_Tables_number 1
_cell_length_a 11.207
_cell_length_b 11.207
_cell_length_c 11.207
_cell_angle_alpha 148.42
_cell_angle_beta 148.42
_cell_angle_gamma 45.26
loop_
_symmetry_equiv_pos_as_xyz
'x,y,z'
loop_
_atom_site_label
_atom_site_fract_x
_atom_site_fract_y
_atom_site_fract_z
Ba1 0.000 0.500 0.500
Ba2 0.149 0.149 0.000
Ba3 0.500 0.000 0.500
Ba4 0.851 0.851 0.000
Eu1 0.347 0.347 0.000
Eu2 0.653 0.653 0.000
Rh1 0.000 0.000 0.000
```

(11)
First-principles (PBE) data for a relaxed BaEuRh crystal, as listed in Alexandria via LeMat-Bulk.

Energy above the most stable polymorph in this dataset   0.0000 eV/atom
Calculated total energy   -20.1 eV/f.u.

The structure in CIF format:
```
data_BaEuRh
_symmetry_space_group_name_H-M 'P 1'
_symmetry_Int_Tables_number 1
_cell_length_a 4.362
_cell_length_b 4.362
_cell_length_c 6.862
_cell_angle_alpha 90.00
_cell_angle_beta 90.00
_cell_angle_gamma 120.00
loop_
_symmetry_equiv_pos_as_xyz
'x,y,z'
loop_
_atom_site_label
_atom_site_fract_x
_atom_site_fract_y
_atom_site_fract_z
Ba1 0.000 0.000 0.000
Eu1 0.667 0.333 0.462
Rh1 0.333 0.667 0.263
```

(12)
First-principles (PBE) data for a relaxed BaEu2Rh crystal, as listed in Alexandria via LeMat-Bulk.

Energy above the most stable polymorph in this dataset   0.0661 eV/atom
Calculated total energy   -30.2 eV/f.u.

The structure in CIF format:
```
data_BaEu2Rh
_symmetry_space_group_name_H-M 'P 1'
_symmetry_Int_Tables_number 1
_cell_length_a 11.300
_cell_length_b 11.300
_cell_length_c 11.300
_cell_angle_alpha 20.99
_cell_angle_beta 20.99
_cell_angle_gamma 20.99
loop_
_symmetry_equiv_pos_as_xyz
'x,y,z'
loop_
_atom_site_label
_atom_site_fract_x
_atom_site_fract_y
_atom_site_fract_z
Ba1 0.000 0.000 0.000
Eu1 0.118 0.118 0.118
Eu2 0.882 0.882 0.882
Rh1 0.500 0.500 0.500
```

DFT formation energy list, top to bottom, in eV per formula unit: 0.38; 0.51; 0.64; 0.43; 0.70; -0.62; -0.43; -0.45; 0.19; 0.54; -0.52; -0.36
Volume list, top to bottom, in Å³/cell: 256.3; 255.3; 249.8; 186.8; 241.7; 139.8; 114.7; 99.4; 186.9; 384.7; 113.1; 162.2